PmNiH4: relaxed, PBE-GGA.

The energy above the lowest structure with this stoichiometry is 0.0 meV/atom. The value obtained for the volume is 8.8 Å³ per atom. Its crystal system is orthorhombic.

The space group is Cmcm (No. 63) and the conventional cell measures 3.7587, 11.7000 and 4.8104 Å, with angles of 90.00, 90.00 and 90.00 degrees. The inequivalent atoms are Pm at (0.0000, 0.1321, 0.2500), Ni at (0.0000, 0.4057, 0.2500), H at (0.0000, 0.0851, 0.7500), H at (0.0000, 0.3089, 0.0053) and H at (0.0000, 0.5000, 0.0000).